# 1
{"formula": "PaOsW", "functional": "GGA-PBE", "state": "relaxed", "e_form_kj_per_mol_atoms": 95, "polymorph_energy_ev_per_atom": 0.459, "cell": [[0.000, 3.157, 3.157], [3.157, 0.000, 3.157], [3.157, 3.157, 0.000]], "species": ["Pa", "Os", "W"], "fractional_positions": [[0.000, 0.000, 0.000], [0.750, 0.750, 0.750], [0.250, 0.250, 0.250]]}

# 2
{"formula": "TbErCoGe2", "functional": "GGA-PBE", "state": "relaxed", "cell": [[5.209, -2.094, 0.000], [5.209, 2.094, 0.000], [-4.728, 0.000, 9.008]], "species": ["Tb", "Tb", "Er", "Er", "Co", "Co", "Ge", "Ge", "Ge", "Ge"], "fractional_positions": [[0.188, 0.188, 0.114], [0.812, 0.812, 0.886], [0.007, 0.007, 0.334], [0.993, 0.993, 0.666], [0.275, 0.275, 0.648], [0.725, 0.725, 0.352], [0.346, 0.346, 0.437], [0.485, 0.485, 0.125], [0.515, 0.515, 0.875], [0.654, 0.654, 0.563]]}

# 3
{"formula": "KCu4MoS4", "functional": "GGA-PBE", "state": "relaxed", "cell": [[6.764, 0.000, 0.000], [0.000, 6.034, 0.000], [-2.476, 0.000, 9.391]], "species": ["K", "K", "Cu", "Cu", "Cu", "Cu", "Cu", "Cu", "Cu", "Cu", "Mo", "Mo", "S", "S", "S", "S", "S", "S", "S", "S"], "fractional_positions": [[0.136, 0.000, 0.142], [0.864, 0.500, 0.858], [0.175, 0.570, 0.412], [0.197, 0.186, 0.552], [0.367, 0.186, 0.887], [0.480, 0.815, 0.512], [0.520, 0.315, 0.488], [0.633, 0.686, 0.113], [0.803, 0.686, 0.448], [0.825, 0.070, 0.588], [0.278, 0.787, 0.717], [0.722, 0.287, 0.283], [0.047, 0.506, 0.606], [0.055, 0.013, 0.808], [0.426, 0.558, 0.901], [0.484, 0.587, 0.321], [0.516, 0.087, 0.679], [0.574, 0.058, 0.099], [0.945, 0.513, 0.192], [0.953, 0.006, 0.394]]}

# 4
{"formula": "ZnGa2Ir3", "functional": "GGA-PBE", "state": "relaxed", "cell": [[3.043, 0.000, 0.000], [0.000, 3.043, 0.000], [0.000, 0.000, 9.111]], "species": ["Zn", "Ga", "Ga", "Ir", "Ir", "Ir"], "fractional_positions": [[0.000, 0.000, 0.000], [0.000, 0.000, 0.329], [0.000, 0.000, 0.671], [0.500, 0.500, 0.171], [0.500, 0.500, 0.500], [0.500, 0.500, 0.829]]}

# 5
{"formula": "Tm4GaPbC2", "functional": "GGA-PBE", "state": "relaxed", "cell": [[3.551, 0.000, 0.000], [-1.776, 3.076, 0.000], [0.000, 0.000, 15.605]], "species": ["Tm", "Tm", "Tm", "Tm", "Ga", "Pb", "C", "C"], "fractional_positions": [[0.000, 0.000, 0.156], [0.000, 0.000, 0.844], [0.667, 0.333, 0.325], [0.667, 0.333, 0.675], [0.667, 0.333, 0.000], [0.000, 0.000, 0.500], [0.333, 0.667, 0.245], [0.333, 0.667, 0.755]]}

# 6
{"formula": "SiHgW", "functional": "GGA-PBE", "state": "relaxed", "polymorph_energy_ev_per_atom": 0.000, "cell": [[0.000, 3.015, 3.015], [3.015, 0.000, 3.015], [3.015, 3.015, 0.000]], "species": ["Si", "Hg", "W"], "fractional_positions": [[0.000, 0.000, 0.000], [0.750, 0.750, 0.750], [0.250, 0.250, 0.250]]}

| no. | magnetic moment (μB per cell) | uncorrected energy (eV/cell) |
| --- | --- | --- |
| 1 | 0.00 | -30.74 |
| 2 | 0.00 | -58.60 |
| 3 | 3.25 | -92.07 |
| 4 | 0.00 | -36.10 |
| 5 | 0.07 | -46.92 |
| 6 | 0.01 | -16.19 |